## Zn5Ga3Ag2 (GGA-PBE)

Data for a relaxed structure of Zn5Ga3Ag2.

Geometry as CIF:
```
data_Zn5Ga3Ag2
_space_group_name_H-M_alt 'C 1 2/c 1'
_space_group_IT_number 15
_cell_length_a 7.646
_cell_length_b 11.765
_cell_length_c 7.654
_cell_angle_alpha 90.00
_cell_angle_beta 100.00
_cell_angle_gamma 90.00
loop_
_space_group_symop_operation_xyz
'x,y,z'
'-x,-y,-z'
'-x,y,-z+1/2'
'x,-y,z+1/2'
'x+1/2,y+1/2,z'
'-x+1/2,-y+1/2,-z'
'-x+1/2,y+1/2,-z+1/2'
'x+1/2,-y+1/2,z+1/2'
loop_
_atom_site_label
_atom_site_type_symbol
_atom_site_fract_x
_atom_site_fract_y
_atom_site_fract_z
_atom_site_occupancy
Zn1 Zn 0.000 0.055 0.250 1
Zn2 Zn 0.127 0.365 0.627 1
Zn3 Zn 0.248 0.444 0.995 1
Ga1 Ga 0.000 0.443 0.250 1
Ga2 Ga 0.121 0.138 0.617 1
Ag1 Ag 0.128 0.251 0.127 1
```

## Properties
As for the total magnetization: 0.00 μB per formula unit. The volume is 169.5 Å³/f.u. Its density is 7.37 g/cm³. Its formation energy from the elements is 0.012 eV per atom. As for the crystal system: monoclinic.